Entry 1:
Entry from Alexandria via LeMat-Bulk: a geometry-optimized PmPrScAg structure (PBE).

For the energy of formation from the pure elements, the calculation gives 10.94 kJ per mole of atoms. The energy relative to the lowest polymorph listed for this composition comes out at 0.28 eV/f.u.

The structure in POSCAR format:
```
PmPrScAg
1.0
7.538 0.000 0.000
0.000 7.538 0.000
0.000 0.000 7.538
Pm Pr Sc Ag
4 4 4 4
direct
0.000 0.000 0.000 Pm
0.000 0.500 0.500 Pm
0.500 0.000 0.500 Pm
0.500 0.500 0.000 Pm
0.250 0.250 0.250 Pr
0.250 0.750 0.750 Pr
0.750 0.250 0.750 Pr
0.750 0.750 0.250 Pr
0.250 0.250 0.750 Sc
0.250 0.750 0.250 Sc
0.750 0.250 0.250 Sc
0.750 0.750 0.750 Sc
0.000 0.000 0.500 Ag
0.000 0.500 0.000 Ag
0.500 0.000 0.000 Ag
0.500 0.500 0.500 Ag
```

Entry 2:
Entry from Alexandria via LeMat-Bulk: a geometry-optimized Pm2PrAg3Se6 structure (PBE).

For the uncorrected formation energy, the calculation gives -1.179 eV/atom.

The structure in POSCAR format:
```
Pm2PrAg3Se6
1.0
8.157 -2.171 0.000
8.157 2.171 0.000
-2.298 0.000 9.574
Pm Pr Ag Se
2 1 3 6
direct
0.161 0.161 0.339 Pm
0.839 0.839 0.661 Pm
0.500 0.500 0.000 Pr
0.170 0.170 0.960 Ag
0.500 0.500 0.500 Ag
0.830 0.830 0.040 Ag
0.016 0.016 0.795 Se
0.313 0.313 0.860 Se
0.342 0.342 0.464 Se
0.658 0.658 0.536 Se
0.687 0.687 0.140 Se
0.984 0.984 0.205 Se
```

Entry 3:
Entry from Alexandria via LeMat-Bulk: a geometry-optimized PmPrAgSn structure (PBE).

For the energy of formation from the pure elements, the calculation gives -50.32 kJ per mole of atoms.

The structure in POSCAR format:
```
PmPrAgSn
1.0
7.644 0.000 0.000
0.000 7.644 0.000
0.000 0.000 7.644
Pm Pr Ag Sn
4 4 4 4
direct
0.000 0.000 0.000 Pm
0.000 0.500 0.500 Pm
0.500 0.000 0.500 Pm
0.500 0.500 0.000 Pm
0.000 0.000 0.500 Pr
0.000 0.500 0.000 Pr
0.500 0.000 0.000 Pr
0.500 0.500 0.500 Pr
0.250 0.250 0.750 Ag
0.250 0.750 0.250 Ag
0.750 0.250 0.250 Ag
0.750 0.750 0.750 Ag
0.250 0.250 0.250 Sn
0.250 0.750 0.750 Sn
0.750 0.250 0.750 Sn
0.750 0.750 0.250 Sn
```

Entry 4:
Entry from Alexandria via LeMat-Bulk: a geometry-optimized TbPmPrAg structure (PBE).

For the energy of formation from the pure elements, the calculation gives -11.79 kJ per mole of atoms. The energy relative to the lowest polymorph listed for this composition comes out at 0.00 eV/f.u.

The structure in POSCAR format:
```
TbPmPrAg
1.0
3.691 0.000 0.000
0.000 3.691 0.000
0.000 0.000 8.824
Tb Pm Pr Ag
1 1 1 1
direct
0.000 0.000 0.000 Tb
0.000 0.000 0.417 Pm
0.500 0.500 0.711 Pr
0.500 0.500 0.197 Ag
```

Number 1: mass density 6.8 g/cm³, size of the total moment 8.9 μB per cell. Number 2: mass density 6.0 g/cm³, size of the total moment 0.0 μB per cell. Number 3: mass density 7.6 g/cm³, size of the total moment 1.4 μB per cell. Number 4: mass density 7.6 g/cm³, size of the total moment 0.0 μB per cell.